Material: Ca2Ni3O8
Method: DFT, GGA-PBEsol
State: relaxed

Summary:
Total magnetization = 0.0 Bohr magnetons per cell
Total energy = -6.47 eV per atom
Density = 4.46 Mg/m³
E_form (uncorrected) = -19.391 eV/f.u.

Structure (POSCAR):
```
Ca2Ni3O8
1.0
5.3933 -2.8762 0.0000
5.3933 2.8762 0.0000
-1.6208 0.0000 4.6074
Ca Ni O
2 3 8
Direct
0.2220 0.2220 0.1641
0.7780 0.7780 0.8359
0.2479 0.7521 0.5000
0.5000 0.5000 0.0000
0.7521 0.2479 0.5000
0.1018 0.1018 0.4627
0.1781 0.6230 0.1112
0.3770 0.8219 0.8888
0.4058 0.4058 0.5993
0.5942 0.5942 0.4007
0.6230 0.1781 0.1112
0.8219 0.3770 0.8888
0.8982 0.8982 0.5373
```